a) # Ca2MgBr

Ca2MgBr after structural relaxation (PBE, Alexandria via LeMat-Bulk).

Cell: 4.0449 5.0029 6.5529 Å, 90.00 90.00 90.00°
Last column: nearest neighbours and their distance in Å.
Atoms (fractional coordinates):
Ca: 0.0000 0.0000 0.0000  4 Br 3.22, 2 Mg 3.26-3.29
Ca: 0.5000 0.5000 0.4675  2 Br 3.14-3.42, 4 Mg 3.22
Mg: 0.0000 0.0000 0.5019  6 Ca 3.22-3.29
Br: 0.5000 0.5000 0.9890  6 Ca 3.14-3.42

Calculated values
Its space-group type is No. 25. The density of states at the Fermi level is 3.20 states/eV/f.u.

---

b) # Ca2MgBr

Ca2MgBr after structural relaxation (PBE, Alexandria via LeMat-Bulk).

Cell: 3.7028 3.7028 8.8753 Å, 90.00 90.00 90.25°
Last column: nearest neighbours and their distance in Å.
Atoms (fractional coordinates):
Ca: 0.0000 0.0000 0.2482  4 Mg 3.42-3.43, 4 Br 3.44-3.45, 4 Ca 3.70
Ca: 0.0000 0.0000 0.7518  4 Mg 3.42-3.43, 4 Br 3.44-3.45, 4 Ca 3.70
Mg: 0.5000 0.5000 0.0000  8 Ca 3.42-3.43, 4 Mg 3.70
Br: 0.5000 0.5000 0.5000  8 Ca 3.44-3.45, 4 Br 3.70

Calculated values
Its space-group type is No. 65. The density of states at the Fermi level is 2.41 states/eV/f.u.

---

c) # Ca2MgBr

Ca2MgBr after structural relaxation (PBE, Alexandria via LeMat-Bulk).

Cell: 5.9952 5.9952 5.9952 Å, 128.87 128.87 75.22°
Last column: nearest neighbours and their distance in Å.
Atoms (fractional coordinates):
Ca: 0.2500 0.7500 0.5000  4 Br 3.51, 4 Mg 3.51, 4 Ca 3.66
Ca: 0.7500 0.2500 0.5000  4 Br 3.51, 4 Mg 3.51, 4 Ca 3.66
Mg: 0.0000 0.0000 0.0000  8 Ca 3.51, 4 Br 3.66
Br: 0.5000 0.5000 0.0000  8 Ca 3.51, 4 Mg 3.66

Calculated values
Its space-group type is No. 139. The density of states at the Fermi level is 3.14 states/eV/f.u.

---

d) # Ca2MgBr

Ca2MgBr after structural relaxation (PBE, Alexandria via LeMat-Bulk).

Cell: 7.0735 7.0735 7.0735 Å, 142.30 142.30 54.37°
Last column: nearest neighbours and their distance in Å.
Atoms (fractional coordinates):
Ca: 0.0000 0.0000 0.0000  4 Br 3.23
Ca: 0.7500 0.2500 0.5000  4 Mg 3.23
Mg: 0.2500 0.7500 0.5000  4 Ca 3.23
Br: 0.5000 0.5000 0.0000  4 Ca 3.23

Calculated values
Its space-group type is No. 119. The density of states at the Fermi level is 2.88 states/eV/f.u.

---

Q: Which of them is the least stable? A: c).

---

a) # Ca2MgBr

Ca2MgBr after structural relaxation (PBE, Alexandria via LeMat-Bulk).

Cell: 5.8242 5.8242 5.8242 Å, 60.00 60.00 60.00°
Last column: nearest neighbours and their distance in Å.
Atoms (fractional coordinates):
Ca: 0.0000 0.0000 0.0000  4 Mg 3.57, 4 Ca 3.57
Ca: 0.2500 0.2500 0.2500  4 Br 3.57, 4 Ca 3.57
Mg: 0.7500 0.7500 0.7500  4 Br 3.57, 4 Ca 3.57
Br: 0.5000 0.5000 0.5000  4 Ca 3.57, 4 Mg 3.57

Calculated values
Its space-group type is No. 216. The density of states at the Fermi level is 3.95 states/eV/f.u.

---

b) # Ca2MgBr

Ca2MgBr after structural relaxation (PBE, Alexandria via LeMat-Bulk).

Cell: 5.6849 5.6849 5.6849 Å, 60.00 60.00 60.00°
Last column: nearest neighbours and their distance in Å.
Atoms (fractional coordinates):
Ca: 0.2500 0.2500 0.2500  4 Br 3.48, 4 Mg 3.48
Ca: 0.7500 0.7500 0.7500  4 Br 3.48, 4 Mg 3.48
Mg: 0.0000 0.0000 0.0000  8 Ca 3.48
Br: 0.5000 0.5000 0.5000  8 Ca 3.48

Calculated values
Its space-group type is No. 225. The density of states at the Fermi level is 3.37 states/eV/f.u.

---

c) # Ca2MgBr

Ca2MgBr after structural relaxation (PBE, Alexandria via LeMat-Bulk).

Cell: 3.7429 3.7429 10.1282 Å, 90.00 90.00 90.00°
Last column: nearest neighbours and their distance in Å.
Atoms (fractional coordinates):
Ca: 0.0000 0.0000 0.0000  4 Br 3.05
Ca: 0.5000 0.5000 0.2908  4 Mg 3.44, 4 Ca 3.74
Mg: 0.0000 0.0000 0.5081  4 Ca 3.44, 4 Mg 3.74
Br: 0.5000 0.5000 0.8500  4 Ca 3.05

Calculated values
Its space-group type is No. 99. The density of states at the Fermi level is 3.07 states/eV/f.u.

---

d) # Ca2MgBr

Ca2MgBr after structural relaxation (PBE, Alexandria via LeMat-Bulk).

Cell: 7.1561 7.1561 7.1561 Å, 107.60 107.60 113.28°
Last column: nearest neighbours and their distance in Å.
Atoms (fractional coordinates):
Ca: 0.0924 0.1250 0.4674  2 Br 2.97
Ca: 0.3750 0.9076 0.0326  2 Br 2.97
Ca: 0.6576 0.6250 0.5326  2 Br 2.97
Ca: 0.8750 0.3424 0.9674  2 Br 2.97
Mg: 0.2500 0.7500 0.5000  4 Ca 3.34
Mg: 0.5000 0.5000 0.0000  4 Ca 3.34
Br: 0.0000 0.0000 0.0000  4 Ca 2.97
Br: 0.7500 0.2500 0.5000  4 Ca 2.97

Calculated values
Its space-group type is No. 122. The density of states at the Fermi level is 2.87 states/eV/f.u.

---

Q: Which of them is the least stable? A: a).

---

a) # CaMg3Br

CaMg3Br after structural relaxation (PBE, Alexandria via LeMat-Bulk).

Cell: 5.4670 5.4670 5.4670 Å, 90.00 90.00 90.00°
Last column: nearest neighbours and their distance in Å.
Atoms (fractional coordinates):
Ca: 0.0000 0.0000 0.0000  12 Mg 3.87
Mg: 0.0000 0.5000 0.5000  2 Br 2.73
Mg: 0.5000 0.0000 0.5000  2 Br 2.73
Mg: 0.5000 0.5000 0.0000  2 Br 2.73
Br: 0.5000 0.5000 0.5000  6 Mg 2.73

Calculated values
Its space-group type is No. 221. The density of states at the Fermi level is 1.77 states/eV/f.u.

---

b) # CaMg3Br

CaMg3Br after structural relaxation (PBE, Alexandria via LeMat-Bulk).

Cell: 6.3901 6.3901 6.3901 Å, 90.00 90.00 90.00°
Last column: nearest neighbours and their distance in Å.
Atoms (fractional coordinates):
Ca: 0.0000 0.0000 0.0000  6 Mg 3.20
Mg: 0.0000 0.0000 0.5000  2 Ca 3.20
Mg: 0.0000 0.5000 0.0000  2 Ca 3.20
Mg: 0.5000 0.0000 0.0000  2 Ca 3.20
Br: 0.5000 0.5000 0.5000  12 Mg 4.52

Calculated values
Its space-group type is No. 221. The density of states at the Fermi level is 3.36 states/eV/f.u.

---

Q: Which of them is the least stable? A: b).

---

a) # CaMgBrO

CaMgBrO after structural relaxation (PBE, Alexandria via LeMat-Bulk).

Cell: 6.6071 6.6071 5.6298 Å, 108.36 108.36 31.73°
Last column: nearest neighbours and their distance in Å.
Atoms (fractional coordinates):
Ca: 0.0000 0.0000 0.0000  2 O 2.15
Mg: 0.3605 0.3605 0.4430  1 O 1.89
Br: 0.6883 0.6883 0.3553  2 Mg 2.76
O: 0.4439 0.4439 0.7888  1 Mg 1.89

Calculated values
Its space-group type is No. 8. The density of states at the Fermi level is 1.10 states/eV/f.u.

---

b) # CaMgBrO

CaMgBrO after structural relaxation (PBE, Alexandria via LeMat-Bulk).

Cell: 5.9183 5.9183 6.4172 Å, 109.82 109.82 32.11°
Last column: nearest neighbours and their distance in Å.
Atoms (fractional coordinates):
Ca: 0.0000 0.0000 0.0000  2 O 2.28
Mg: 0.2669 0.2669 0.2305  2 O 2.08
Br: 0.3191 0.3191 0.6724  1 Mg 2.68, 2 Ca 2.88
O: 0.6483 0.6483 0.1252  2 Mg 2.08, 2 Ca 2.28

Calculated values
Its space-group type is No. 8. The density of states at the Fermi level is 0.98 states/eV/f.u.

---

c) # CaMgBrO

CaMgBrO after structural relaxation (PBE, Alexandria via LeMat-Bulk).

Cell: 3.7963 3.7668 6.3960 Å, 90.00 90.26 90.00°
Last column: nearest neighbours and their distance in Å.
Atoms (fractional coordinates):
Ca: 0.0000 0.0000 0.0000  2 O 2.28
Mg: 0.4970 0.5000 0.6928  2 O 2.01
Br: 0.5016 0.5000 0.2737  1 Mg 2.68
O: 0.4984 0.0000 0.8027  2 Mg 2.01

Calculated values
Its space-group type is No. 6. The density of states at the Fermi level is 0.89 states/eV/f.u.

---

Q: Which of them is the least stable? A: b).

---

a) # CaMgBrO

CaMgBrO after structural relaxation (PBE, Alexandria via LeMat-Bulk).

Cell: 6.5045 6.5045 5.0152 Å, 102.25 102.25 28.84°
Last column: nearest neighbours and their distance in Å.
Atoms (fractional coordinates):
Ca: 0.0000 0.0000 0.0000  2 O 2.30
Mg: 0.2320 0.2320 0.0267  2 O 2.06
Br: 0.4250 0.4250 0.4472  1 Mg 2.85, 4 Ca 3.08-3.17
O: 0.6318 0.6318 0.0327  2 Mg 2.06, 2 Ca 2.30

Calculated values
Its space-group type is No. 8. The density of states at the Fermi level is 0.84 states/eV/f.u.

---

b) # CaMgBrO

CaMgBrO after structural relaxation (PBE, Alexandria via LeMat-Bulk).

Cell: 7.4708 7.4708 7.4708 Å, 27.81 27.81 27.81°
Last column: nearest neighbours and their distance in Å.
Atoms (fractional coordinates):
Ca: 0.0000 0.0000 0.0000  1 O 2.21
Mg: 0.7917 0.7917 0.7917  3 O 2.13
Br: 0.5643 0.5643 0.5643  3 Ca 3.03, 3 Mg 3.08
O: 0.1027 0.1027 0.1027  3 Mg 2.13, 1 Ca 2.21

Calculated values
Its space-group type is No. 160. The density of states at the Fermi level is 0.80 states/eV/f.u.

---

Q: Which of them is the least stable? A: a).

---

a) # CaMgBrO

CaMgBrO after structural relaxation (PBE, Alexandria via LeMat-Bulk).

Cell: 3.3900 3.7584 7.7699 Å, 94.66 90.08 116.69°
Last column: nearest neighbours and their distance in Å.
Atoms (fractional coordinates):
Ca: 0.0000 0.0000 0.0000  3 O 2.43-2.44
Mg: 0.7273 0.4575 0.6691  2 O 2.18
Br: 0.7061 0.4119 0.2523  3 Ca 2.85-2.91
O: 0.2952 0.5919 0.8419  2 Mg 2.18, 3 Ca 2.43-2.44

Calculated values
Its space-group type is No. 1. The density of states at the Fermi level is 0.40 states/eV/f.u.

---

b) # CaMgBrO

CaMgBrO after structural relaxation (PBE, Alexandria via LeMat-Bulk).

Cell: 3.7695 6.4354 6.4354 Å, 33.90 90.00 90.00°
Last column: nearest neighbours and their distance in Å.
Atoms (fractional coordinates):
Ca: 0.0000 0.0000 0.0000  2 O 2.27
Mg: 0.5000 0.3392 0.3392  2 O 2.01
Br: 0.5000 0.6668 0.6668  2 Mg 2.83
O: 0.0000 0.3966 0.3966  2 Mg 2.01

Calculated values
Its space-group type is No. 38. The density of states at the Fermi level is 1.27 states/eV/f.u.

---

Q: Which of them is the least stable? A: a).

---

a) # CaMgBrO

CaMgBrO after structural relaxation (PBE, Alexandria via LeMat-Bulk).

Cell: 5.5799 5.5799 6.7195 Å, 117.71 117.71 34.03°
Last column: nearest neighbours and their distance in Å.
Atoms (fractional coordinates):
Ca: 0.0000 0.0000 0.0000  2 O 2.29
Mg: 0.2437 0.2437 0.4487  2 O 2.07
Br: 0.2385 0.2385 0.8586  1 Mg 2.78, 2 Ca 2.96
O: 0.6320 0.6320 0.2548  2 Mg 2.07, 2 Ca 2.29

Calculated values
Its space-group type is No. 8. The density of states at the Fermi level is 1.06 states/eV/f.u.

---

b) # CaMgBrO

CaMgBrO after structural relaxation (PBE, Alexandria via LeMat-Bulk).

Cell: 3.7653 3.7653 7.8465 Å, 104.10 104.10 60.02°
Last column: nearest neighbours and their distance in Å.
Atoms (fractional coordinates):
Ca: 0.0000 0.0000 0.0000  3 O 2.33
Mg: 0.4575 0.4575 0.3657  1 O 1.92
Br: 0.5718 0.5718 0.7205  1 Mg 2.67
O: 0.3707 0.3707 0.1101  1 Mg 1.92

Calculated values
Its space-group type is No. 8. The density of states at the Fermi level is 1.23 states/eV/f.u.

---

Q: Which of them is the least stable? A: a).

---

a) # RbCaMg2Br

RbCaMg2Br after structural relaxation (PBE, Alexandria via LeMat-Bulk).

Cell: 6.8846 6.8846 7.8438 Å, 90.00 90.00 90.00°
Last column: nearest neighbours and their distance in Å.
Atoms (fractional coordinates):
Rb: 0.0000 0.0000 0.0000  4 Mg 3.44
Ca: 0.0000 0.0000 0.5000  2 Rb 3.92
Mg: 0.0000 0.5000 0.0000  2 Rb 3.44
Mg: 0.5000 0.0000 0.0000  2 Rb 3.44
Br: 0.5000 0.5000 0.5000  4 Ca 4.87, 8 Mg 5.22

Calculated values
Its space-group type is No. 123. The density of states at the Fermi level is 1.17 states/eV/f.u.

---

b) # RbCaMg2Br

RbCaMg2Br after structural relaxation (PBE, Alexandria via LeMat-Bulk).

Cell: 6.5407 6.5407 5.6520 Å, 90.00 90.00 90.00°
Last column: nearest neighbours and their distance in Å.
Atoms (fractional coordinates):
Rb: 0.0000 0.0000 0.0000  8 Mg 4.32, 4 Br 4.62
Ca: 0.5000 0.5000 0.5000  2 Br 2.83
Mg: 0.0000 0.5000 0.5000  2 Ca 3.27
Mg: 0.5000 0.0000 0.5000  2 Ca 3.27
Br: 0.5000 0.5000 0.0000  2 Ca 2.83

Calculated values
Its space-group type is No. 123. The density of states at the Fermi level is 4.27 states/eV/f.u.

---

Q: Which of them is the least stable? A: a).

---

a) # CaMgSe2Br

CaMgSe2Br after structural relaxation (PBE, Alexandria via LeMat-Bulk).

Cell: 5.4796 5.4796 5.4237 Å, 90.00 90.00 90.00°
Last column: nearest neighbours and their distance in Å.
Atoms (fractional coordinates):
Ca: 0.0000 0.0000 0.0000  2 Br 2.71, 4 Se 2.74
Mg: 0.5000 0.5000 0.5000  8 Se 3.85, 4 Br 3.87
Se: 0.0000 0.5000 0.0000  2 Ca 2.74
Se: 0.5000 0.0000 0.0000  2 Ca 2.74
Br: 0.0000 0.0000 0.5000  2 Ca 2.71

Calculated values
Its space-group type is No. 123. The density of states at the Fermi level is 5.00 states/eV/f.u.

---

b) # CaMgSe2Br

CaMgSe2Br after structural relaxation (PBE, Alexandria via LeMat-Bulk).

Cell: 5.0534 5.0534 5.3137 Å, 90.00 90.00 90.00°
Last column: nearest neighbours and their distance in Å.
Atoms (fractional coordinates):
Ca: 0.0000 0.0000 0.0000  4 Br 3.57, 8 Se 3.67
Mg: 0.5000 0.5000 0.5000  4 Se 2.53, 2 Br 2.66
Se: 0.0000 0.5000 0.5000  2 Mg 2.53
Se: 0.5000 0.0000 0.5000  2 Mg 2.53
Br: 0.5000 0.5000 0.0000  2 Mg 2.66

Calculated values
Its space-group type is No. 123. The density of states at the Fermi level is 2.99 states/eV/f.u.

---

Q: Which of them is the least stable? A: a).

---

a) # CaMn2Br

CaMn2Br after structural relaxation (PBE, Alexandria via LeMat-Bulk).

Cell: 3.4680 4.5316 5.9918 Å, 90.00 90.00 90.00°
Last column: nearest neighbours and their distance in Å.
Atoms (fractional coordinates):
Ca: 0.0000 0.0000 0.0000  4 Br 2.85
Mn: 0.0000 0.5000 0.5000  4 Mn 2.85
Mn: 0.5000 0.0000 0.5000  4 Mn 2.85
Br: 0.5000 0.5000 0.0000  4 Ca 2.85

Calculated values
Its space-group type is No. 47. The density of states at the Fermi level is 2.72 states/eV/f.u.

---

b) # CaMn2Br

CaMn2Br after structural relaxation (PBE, Alexandria via LeMat-Bulk).

Cell: 6.6060 6.6060 6.6060 Å, 144.72 144.72 50.76°
Last column: nearest neighbours and their distance in Å.
Atoms (fractional coordinates):
Ca: 0.0000 0.0000 0.0000  4 Br 2.83
Mn: 0.2500 0.7500 0.5000  4 Mn 2.83
Mn: 0.7500 0.2500 0.5000  4 Mn 2.83
Br: 0.5000 0.5000 0.0000  4 Ca 2.83

Calculated values
Its space-group type is No. 139. The density of states at the Fermi level is 4.57 states/eV/f.u.

---

Q: Which of them is the least stable? A: b).

---

a) # CaMn2Br

CaMn2Br after structural relaxation (PBE, Alexandria via LeMat-Bulk).

Cell: 3.4112 3.4112 8.9327 Å, 90.00 90.00 109.33°
Last column: nearest neighbours and their distance in Å.
Atoms (fractional coordinates):
Ca: 0.0000 0.0000 0.0000  4 Mn 3.13, 4 Ca 3.41
Mn: 0.5000 0.5000 0.2721  2 Br 2.83, 2 Ca 3.13
Mn: 0.5000 0.5000 0.7279  2 Br 2.83, 2 Ca 3.13
Br: 0.0000 0.0000 0.5000  4 Mn 2.83

Calculated values
Its space-group type is No. 65. The density of states at the Fermi level is 2.75 states/eV/f.u.

---

b) # CaMn2Br

CaMn2Br after structural relaxation (PBE, Alexandria via LeMat-Bulk).

Cell: 6.5571 6.5571 6.5571 Å, 100.62 100.62 129.16°
Last column: nearest neighbours and their distance in Å.
Atoms (fractional coordinates):
Ca: 0.0000 0.0000 0.0000  2 Br 2.81
Ca: 0.7500 0.2500 0.5000  2 Br 2.81
Mn: 0.1653 0.6250 0.0403  2 Br 2.82, 2 Mn 2.89
Mn: 0.3750 0.4153 0.5403  2 Br 2.82, 2 Mn 2.89
Mn: 0.5847 0.1250 0.9597  2 Br 2.82, 2 Mn 2.89
Mn: 0.8750 0.8347 0.4597  2 Br 2.82, 2 Mn 2.89
Br: 0.2500 0.7500 0.5000  2 Ca 2.81, 4 Mn 2.82
Br: 0.5000 0.5000 0.0000  2 Ca 2.81, 4 Mn 2.82

Calculated values
Its space-group type is No. 122. The density of states at the Fermi level is 2.53 states/eV/f.u.

---

c) # CaMn2Br

CaMn2Br after structural relaxation (PBE, Alexandria via LeMat-Bulk).

Cell: 5.8936 5.8936 5.8936 Å, 146.58 121.22 69.33°
Last column: nearest neighbours and their distance in Å.
Atoms (fractional coordinates):
Ca: 0.0000 0.0000 0.0000  2 Br 3.02, 4 Mn 3.36
Mn: 0.3096 0.8096 0.5000  2 Mn 2.72
Mn: 0.5284 0.5284 0.0000  2 Br 2.68, 2 Mn 2.72
Br: 0.7421 0.2421 0.5000  2 Mn 2.68

Calculated values
Its space-group type is No. 44. The density of states at the Fermi level is 3.58 states/eV/f.u.

---

Q: Which of them is the least stable? A: a).